Arrangement a

SiAsW2, relaxed, DFT GGA-PBE; M_tot = 0.0 μB/cell; crystal system = trigonal; D(E_F) = 1.09 states/eV per atom
1.0
8.3448 0.0035 0.0021
7.8240 2.9018 0.0021
7.8240 1.4059 2.5385
As Si W
1 1 2
Direct
0.2500 0.2500 0.2500
0.7500 0.7500 0.7500
0.0001 0.0001 0.0001
0.4999 0.4999 0.4999

***

Arrangement b

SiAsW2, relaxed, DFT GGA-PBE; M_tot = 0.0 μB/cell; crystal system = trigonal; D(E_F) = 0.45 states/eV per atom
1.0
-2.5708 4.3077 -6.5318
-3.2046 1.4866 -7.4397
-5.1623 2.9877 -5.6792
As Si W
1 1 2
Direct
0.5012 0.5012 0.5012
0.7476 0.7476 0.7476
0.0027 0.0027 0.0027
0.2484 0.2484 0.2484

***

Short version: arrangement a is the least stable of them.